[1]
DFT (PBE-GGA) results for an optimized crystal structure of AcSm2Ga6.

Calculated values
Density of states at the Fermi level (states/eV per cell): 3.99
Calculated density (g/cm³): 7.1
Uncorrected energy (eV/atom): -4.004
Energy of formation (eV per atom): -0.48

Cell: 7.895 7.895 7.895 Å, 146.86 123.61 66.99°
Positions (direct):
1 Ac 0.000 0.000 0.000
2 Sm 0.371 0.871 0.500
3 Sm 0.629 0.129 0.500
4 Ga 0.017 0.317 0.700
5 Ga 0.327 0.500 0.827
6 Ga 0.383 0.683 0.700
7 Ga 0.617 0.317 0.300
8 Ga 0.673 0.500 0.173
9 Ga 0.983 0.683 0.300

---

[2]
DFT (PBE-GGA) results for an optimized crystal structure of AcSmGa.

Calculated values
Density of states at the Fermi level (states/eV per cell): 3.73
Calculated density (g/cm³): 7.3
Uncorrected energy (eV/atom): -4.149
Energy of formation (eV per atom): -0.20

Cell: 5.246 5.246 5.246 Å, 60.00 60.00 60.00°
Positions (direct):
1 Ac 0.000 0.000 0.000
2 Sm 0.500 0.500 0.500
3 Ga 0.750 0.750 0.750

---

[3]
DFT (PBE-GGA) results for an optimized crystal structure of Ac2SmGa6.

Calculated values
Density of states at the Fermi level (states/eV per cell): 6.20
Calculated density (g/cm³): 7.6
Uncorrected energy (eV/atom): -4.088
Energy of formation (eV per atom): -0.63

Cell: 7.532 7.532 4.569 Å, 90.00 90.00 120.00°
Positions (direct):
1 Ac 0.333 0.667 0.000
2 Ac 0.667 0.333 0.000
3 Sm 0.000 0.000 0.000
4 Ga 0.000 0.329 0.500
5 Ga 0.000 0.671 0.500
6 Ga 0.329 0.000 0.500
7 Ga 0.329 0.329 0.500
8 Ga 0.671 0.000 0.500
9 Ga 0.671 0.671 0.500

---

[4]
DFT (PBE-GGA) results for an optimized crystal structure of AcSm2Ga6.

Calculated values
Density of states at the Fermi level (states/eV per cell): 5.77
Calculated density (g/cm³): 7.4
Uncorrected energy (eV/atom): -4.165
Energy of formation (eV per atom): -0.64

Cell: 7.449 7.449 4.415 Å, 90.00 90.00 120.00°
Positions (direct):
1 Ac 0.000 0.000 0.000
2 Sm 0.333 0.667 0.000
3 Sm 0.667 0.333 0.000
4 Ga 0.000 0.337 0.500
5 Ga 0.000 0.663 0.500
6 Ga 0.337 0.000 0.500
7 Ga 0.337 0.337 0.500
8 Ga 0.663 0.000 0.500
9 Ga 0.663 0.663 0.500

---

[5]
DFT (PBE-GGA) results for an optimized crystal structure of AcSm3Ga2.

Calculated values
Density of states at the Fermi level (states/eV per cell): 12.49
Calculated density (g/cm³): 7.5
Uncorrected energy (eV/atom): -4.366
Energy of formation (eV per atom): -0.31

Cell: 9.261 9.261 9.157 Å, 113.24 113.24 30.12°
Positions (direct):
1 Ac 0.122 0.122 0.154
2 Ac 0.878 0.878 0.846
3 Sm 0.047 0.047 0.692
4 Sm 0.318 0.318 0.075
5 Sm 0.354 0.354 0.518
6 Sm 0.646 0.646 0.482
7 Sm 0.682 0.682 0.925
8 Sm 0.953 0.953 0.308
9 Ga 0.223 0.223 0.700
10 Ga 0.497 0.497 0.144
11 Ga 0.503 0.503 0.856
12 Ga 0.777 0.777 0.300

---

[6]
DFT (PBE-GGA) results for an optimized crystal structure of AcSmGa.

Calculated values
Density of states at the Fermi level (states/eV per cell): 9.52
Calculated density (g/cm³): 7.1
Uncorrected energy (eV/atom): -4.039
Energy of formation (eV per atom): -0.09

Cell: 3.804 3.804 16.642 Å, 90.00 90.00 120.00°
Positions (direct):
1 Ac 0.333 0.667 0.000
2 Ac 0.667 0.333 0.500
3 Sm 0.333 0.667 0.767
4 Sm 0.667 0.333 0.267
5 Ga 0.000 0.000 0.143
6 Ga 0.000 0.000 0.643

---

[7]
DFT (PBE-GGA) results for an optimized crystal structure of AcSmGa6.

Calculated values
Density of states at the Fermi level (states/eV per cell): 1.48
Calculated density (g/cm³): 7.5
Uncorrected energy (eV/atom): -3.860
Energy of formation (eV per atom): -0.49

Cell: 4.431 6.528 6.110 Å, 90.00 90.00 90.00°
Positions (direct):
1 Ac 0.000 0.000 0.000
2 Sm 0.500 0.500 0.234
3 Ga 0.000 0.255 0.479
4 Ga 0.000 0.500 0.873
5 Ga 0.000 0.745 0.479
6 Ga 0.500 0.000 0.413
7 Ga 0.500 0.283 0.753
8 Ga 0.500 0.717 0.753

---

[8]
DFT (PBE-GGA) results for an optimized crystal structure of AcSmGa.

Calculated values
Density of states at the Fermi level (states/eV per cell): 7.65
Calculated density (g/cm³): 7.8
Uncorrected energy (eV/atom): -4.305
Energy of formation (eV per atom): -0.35

Cell: 4.848 4.848 8.125 Å, 90.00 90.00 90.00°
Positions (direct):
1 Ac 0.250 0.250 0.140
2 Ac 0.750 0.750 0.860
3 Sm 0.250 0.750 0.500
4 Sm 0.750 0.250 0.500
5 Ga 0.250 0.250 0.743
6 Ga 0.750 0.750 0.257

---

[9]
DFT (PBE-GGA) results for an optimized crystal structure of AcSm2Ga4.

Calculated values
Density of states at the Fermi level (states/eV per cell): 4.62
Calculated density (g/cm³): 7.4
Uncorrected energy (eV/atom): -4.282
Energy of formation (eV per atom): -0.62

Cell: 9.892 9.892 9.892 Å, 155.03 153.51 36.72°
Positions (direct):
1 Ac 0.000 0.000 0.000
2 Sm 0.185 0.685 0.500
3 Sm 0.815 0.315 0.500
4 Ga 0.352 0.852 0.500
5 Ga 0.431 0.431 0.000
6 Ga 0.569 0.569 0.000
7 Ga 0.648 0.148 0.500

---

[10]
DFT (PBE-GGA) results for an optimized crystal structure of AcSmGa3.

Calculated values
Density of states at the Fermi level (states/eV per cell): 7.77
Calculated density (g/cm³): 7.5
Uncorrected energy (eV/atom): -4.203
Energy of formation (eV per atom): -0.62

Cell: 13.407 13.407 4.322 Å, 90.00 90.00 160.38°
Positions (direct):
1 Ac 0.075 0.925 0.750
2 Ac 0.925 0.075 0.250
3 Sm 0.203 0.797 0.250
4 Sm 0.797 0.203 0.750
5 Ga 0.322 0.678 0.250
6 Ga 0.378 0.622 0.750
7 Ga 0.476 0.524 0.750
8 Ga 0.524 0.476 0.250
9 Ga 0.622 0.378 0.250
10 Ga 0.678 0.322 0.750

---

[11]
DFT (PBE-GGA) results for an optimized crystal structure of Ac2Sm5Ga4.

Calculated values
Density of states at the Fermi level (states/eV per cell): 12.26
Calculated density (g/cm³): 7.3
Uncorrected energy (eV/atom): -4.276
Energy of formation (eV per atom): -0.28

Cell: 7.772 7.772 9.291 Å, 126.13 126.13 52.86°
Positions (direct):
1 Ac 0.205 0.205 0.253
2 Ac 0.795 0.795 0.747
3 Sm 0.208 0.731 0.294
4 Sm 0.269 0.792 0.706
5 Sm 0.500 0.500 0.000
6 Sm 0.731 0.208 0.294
7 Sm 0.792 0.269 0.706
8 Ga 0.209 0.209 0.627
9 Ga 0.270 0.270 0.962
10 Ga 0.730 0.730 0.038
11 Ga 0.791 0.791 0.373

---

[12]
DFT (PBE-GGA) results for an optimized crystal structure of Ac4SmGa5.

Calculated values
Density of states at the Fermi level (states/eV per cell): 8.21
Calculated density (g/cm³): 8.0
Uncorrected energy (eV/atom): -4.087
Energy of formation (eV per atom): -0.46

Cell: 3.869 3.869 19.393 Å, 90.00 90.00 90.00°
Positions (direct):
1 Ac 0.000 0.000 0.103
2 Ac 0.000 0.000 0.308
3 Ac 0.000 0.000 0.692
4 Ac 0.000 0.000 0.897
5 Sm 0.000 0.000 0.500
6 Ga 0.500 0.500 0.000
7 Ga 0.500 0.500 0.206
8 Ga 0.500 0.500 0.417
9 Ga 0.500 0.500 0.583
10 Ga 0.500 0.500 0.794

---

[13]
DFT (PBE-GGA) results for an optimized crystal structure of AcSm4Ga4.

Calculated values
Density of states at the Fermi level (states/eV per cell): 17.67
Calculated density (g/cm³): 7.1
Uncorrected energy (eV/atom): -4.185
Energy of formation (eV per atom): -0.29

Cell: 9.377 9.377 5.857 Å, 90.00 90.00 90.00°
Positions (direct):
1 Ac 0.250 0.250 0.250
2 Ac 0.750 0.750 0.750
3 Sm 0.099 0.845 0.616
4 Sm 0.155 0.599 0.116
5 Sm 0.345 0.901 0.116
6 Sm 0.401 0.655 0.616
7 Sm 0.599 0.345 0.384
8 Sm 0.655 0.099 0.884
9 Sm 0.845 0.401 0.884
10 Sm 0.901 0.155 0.384
11 Ga 0.002 0.117 0.879
12 Ga 0.117 0.498 0.621
13 Ga 0.383 0.002 0.621
14 Ga 0.498 0.383 0.879
15 Ga 0.502 0.617 0.121
16 Ga 0.617 0.998 0.379
17 Ga 0.883 0.502 0.379
18 Ga 0.998 0.883 0.121

---

[14]
DFT (PBE-GGA) results for an optimized crystal structure of AcSmGa.

Calculated values
Density of states at the Fermi level (states/eV per cell): 3.59
Calculated density (g/cm³): 7.8
Uncorrected energy (eV/atom): -4.237
Energy of formation (eV per atom): -0.29

Cell: 7.190 7.190 7.190 Å, 149.54 149.54 43.62°
Positions (direct):
1 Ac 0.000 0.000 0.000
2 Sm 0.718 0.718 0.000
3 Ga 0.341 0.341 0.000

---

[15]
DFT (PBE-GGA) results for an optimized crystal structure of AcSmGa.

Calculated values
Density of states at the Fermi level (states/eV per cell): 4.16
Calculated density (g/cm³): 7.3
Uncorrected energy (eV/atom): -4.102
Energy of formation (eV per atom): -0.15

Cell: 3.896 3.896 7.708 Å, 90.00 90.00 120.00°
Positions (direct):
1 Ac 0.000 0.000 0.000
2 Sm 0.333 0.667 0.572
3 Ga 0.667 0.333 0.305

---

[16]
DFT (PBE-GGA) results for an optimized crystal structure of Ac2Sm3Ga4.

Calculated values
Density of states at the Fermi level (states/eV per cell): 16.35
Calculated density (g/cm³): 7.5
Uncorrected energy (eV/atom): -4.352
Energy of formation (eV per atom): -0.52

Cell: 8.322 8.289 7.879 Å, 90.00 106.34 90.00°
Positions (direct):
1 Ac 0.190 0.176 0.072
2 Ac 0.190 0.324 0.572
3 Ac 0.810 0.676 0.428
4 Ac 0.810 0.824 0.928
5 Sm 0.241 0.676 0.252
6 Sm 0.241 0.824 0.752
7 Sm 0.500 0.000 0.500
8 Sm 0.500 0.500 0.000
9 Sm 0.759 0.176 0.248
10 Sm 0.759 0.324 0.748
11 Ga 0.079 0.536 0.876
12 Ga 0.079 0.964 0.376
13 Ga 0.499 0.115 0.879
14 Ga 0.499 0.385 0.379
15 Ga 0.501 0.615 0.621
16 Ga 0.501 0.885 0.121
17 Ga 0.921 0.036 0.624
18 Ga 0.921 0.464 0.124

---

[17]
DFT (PBE-GGA) results for an optimized crystal structure of AcTbSmGa.

Calculated values
Density of states at the Fermi level (states/eV per cell): 7.23
Calculated density (g/cm³): 8.4
Uncorrected energy (eV/atom): -4.090
Energy of formation (eV per atom): 0.03

Cell: 5.525 5.525 5.525 Å, 60.00 60.00 60.00°
Positions (direct):
1 Ac 0.000 0.000 0.000
2 Tb 0.250 0.250 0.250
3 Sm 0.750 0.750 0.750
4 Ga 0.500 0.500 0.500

---

[18]
DFT (PBE-GGA) results for an optimized crystal structure of AcSmThGa.

Calculated values
Density of states at the Fermi level (states/eV per cell): 5.22
Calculated density (g/cm³): 9.3
Uncorrected energy (eV/atom): -4.737
Energy of formation (eV per atom): 0.08

Cell: 5.564 5.564 5.564 Å, 60.00 60.00 60.00°
Positions (direct):
1 Ac 0.000 0.000 0.000
2 Sm 0.750 0.750 0.750
3 Th 0.250 0.250 0.250
4 Ga 0.500 0.500 0.500

---

[19]
DFT (PBE-GGA) results for an optimized crystal structure of AcSmTlGa.

Calculated values
Density of states at the Fermi level (states/eV per cell): 2.48
Calculated density (g/cm³): 9.0
Uncorrected energy (eV/atom): -3.935
Energy of formation (eV per atom): -0.38

Cell: 5.535 5.535 5.535 Å, 60.00 60.00 60.00°
Positions (direct):
1 Ac 0.000 0.000 0.000
2 Sm 0.500 0.500 0.500
3 Tl 0.750 0.750 0.750
4 Ga 0.250 0.250 0.250

---

[20]
DFT (PBE-GGA) results for an optimized crystal structure of AcSm2Zn2Ga2.

Calculated values
Density of states at the Fermi level (states/eV per cell): 4.57
Calculated density (g/cm³): 7.5
Uncorrected energy (eV/atom): -3.555
Energy of formation (eV per atom): -0.39

Cell: 10.248 10.248 10.248 Å, 25.59 25.59 25.59°
Positions (direct):
1 Ac 0.000 0.000 0.000
2 Sm 0.130 0.130 0.130
3 Sm 0.870 0.870 0.870
4 Zn 0.410 0.410 0.410
5 Zn 0.590 0.590 0.590
6 Ga 0.255 0.255 0.255
7 Ga 0.745 0.745 0.745